No. 1
The following is a DFT calculation (PBE) of a relaxed Sr2NdH6Ru crystal.

abc: 6.2115 5.3699 5.3699
angles: 120.00 90.00 90.00
With the nearest neighbours (Å) after each atom.
Fractional coordinates of all 10 atoms:
H (0.8325, 0.6988, 0.8494)  1 Ru 1.74
H (0.8325, 0.1506, 0.8494)  1 Ru 1.74
Nd (0.5000, 0.0000, 0.0000)  6 H 2.50
H (0.8325, 0.1506, 0.3012)  1 Ru 1.74
Sr (0.1663, 0.3333, 0.6667)  9 H 2.68-2.69
H (0.1675, 0.8494, 0.1506)  1 Ru 1.74
Sr (0.8337, 0.6667, 0.3333)  9 H 2.68-2.69
H (0.1675, 0.8494, 0.6988)  1 Ru 1.74
H (0.1675, 0.3012, 0.1506)  1 Ru 1.74
Ru (0.0000, 0.0000, 0.0000)  6 H 1.74

**V**: 155.1 Å³ per cell
**Electronic total energy**: -41.81 eV/cell
**M_tot**: 0.0 μB per formula unit

No. 2
The following is a DFT calculation (PBE) of a relaxed TbPmPr2Sc crystal.

abc: 6.6651 7.8372 6.3227
angles: 90.00 90.00 90.00
With the nearest neighbours (Å) after each atom.
Fractional coordinates of all 10 atoms:
Sc (0.0000, 0.0000, 0.0000)  2 Tb 3.14, 4 Pr 3.16, 2 Sc 3.16
Pm (0.6964, 0.5000, 0.2500)  8 Pr 3.56-3.85, 2 Tb 3.98
Sc (0.0000, 0.0000, 0.5000)  2 Tb 3.14, 4 Pr 3.16, 2 Sc 3.16
Pr (0.7797, 0.7062, 0.7500)  2 Sc 3.16, 1 Pr 3.23, 1 Tb 3.39
Tb (0.5937, 0.0000, 0.2500)  2 Sc 3.14, 2 Pr 3.39, 2 Tb 3.40
Pr (0.2203, 0.2938, 0.2500)  2 Sc 3.16, 1 Pr 3.23, 1 Tb 3.39
Pm (0.3036, 0.5000, 0.7500)  8 Pr 3.56-3.85, 2 Tb 3.98
Pr (0.7797, 0.2938, 0.7500)  2 Sc 3.16, 1 Pr 3.23, 1 Tb 3.39
Pr (0.2203, 0.7062, 0.2500)  2 Sc 3.16, 1 Pr 3.23, 1 Tb 3.39
Tb (0.4063, 0.0000, 0.7500)  2 Sc 3.14, 2 Pr 3.39, 2 Tb 3.40

**E_form**: 0.191 eV/atom
**V**: 330.3 Å³ per cell
**Electronic total energy**: -48.63 eV/cell
**M_tot**: 0.0 μB per formula unit